The following is a PBE calculation of a geometry-optimized AgBiMo2 structure, from the Open Quantum Materials Database.

Results
Calculated density, Mg/m³: 11.35
DFT total energy, eV/atom: -6.350

Cell: 6.6774 6.6774 6.6774 Å, 90.00 90.00 90.00°
Last column: nearest neighbours and their distance in Å.
Space group F-43m (No. 216)
Asymmetric unit:
Ag1 0.0000 0.0000 0.0000  4 Mo 2.89, 4 Bi 2.89
Bi1 0.2500 0.2500 0.7500  4 Mo 2.89, 4 Ag 2.89
Mo1 0.0000 0.0000 0.5000  4 Mo 2.89, 4 Bi 2.89
Mo2 0.2500 0.2500 0.2500  4 Mo 2.89, 4 Ag 2.89